# 1
An optimized crystal structure of TlOsRu2. Source: the Alexandria database, functional PBE.

## Properties
Total magnetic moment ... 0.57 μB per atom
Total energy ... -28.98 eV for the cell shown
Symmetry ... Fm-3m, No. 225

a b c (Å): 4.5068 4.5068 4.5068
angles (deg): 60.00 60.00 60.00
Fractional coordinates of all 4 atoms:
Ru 0.2500 0.2500 0.2500
Ru 0.7500 0.7500 0.7500
Tl 0.5000 0.5000 0.5000
Os 0.0000 0.0000 0.0000

=====

# 2
An optimized crystal structure of CaLaSb. Source: the Alexandria database, functional PBE.

## Properties
Total magnetic moment ... 0.00 μB per atom
Symmetry ... I4mm, No. 107
Formation energy without anion corrections ... -0.628 eV/atom

a b c (Å): 7.2055 7.2050 4.0019
angles (deg): 73.88 73.87 32.25
Fractional coordinates of all 3 atoms:
Sb 0.3302 0.3302 0.6698
Ca 0.9668 0.9668 0.0332
La 0.7030 0.7030 0.2970

=====

# 3
An optimized crystal structure of Nd3Er2Tm4. Source: the Alexandria database, functional PBE.

## Properties
Total magnetic moment ... 0.00 μB per atom
Total energy ... -40.52 eV for the cell shown
Symmetry ... C2/m, No. 12

a b c (Å): 5.5784 8.9731 6.5729
angles (deg): 110.74 89.99 108.09
Fractional coordinates of all 9 atoms:
Nd 0.8614 0.7225 0.4203
Nd 0.1386 0.2775 0.5797
Nd 0.0000 0.0000 0.0000
Er 0.6385 0.2773 0.3004
Er 0.3615 0.7227 0.6996
Tm 0.7775 0.5548 0.8574
Tm 0.2225 0.4452 0.1426
Tm 0.4296 0.8589 0.2445
Tm 0.5704 0.1411 0.7555

=====

# 4
An optimized crystal structure of Ac2Al3GePt4. Source: the Alexandria database, functional PBE.

## Properties
Total magnetic moment ... 0.00 μB per atom
Total energy ... -58.86 eV for the cell shown
Symmetry ... P-4m2, No. 115

a b c (Å): 4.4452 4.4452 10.4098
angles (deg): 90.00 90.00 90.00
Fractional coordinates of all 10 atoms:
Ac 0.5000 0.0000 0.2534
Ac 0.0000 0.5000 0.7466
Al 0.0000 0.0000 0.5000
Al 0.5000 0.0000 0.8777
Al 0.0000 0.5000 0.1223
Ge 0.5000 0.5000 0.5000
Pt 0.5000 0.5000 0.0000
Pt 0.0000 0.0000 0.0000
Pt 0.5000 0.0000 0.6304
Pt 0.0000 0.5000 0.3696

=====

Q: The highest total magnetic moment belongs to which entry?
A: TlOsRu2

=====

Q: Number 4 is which compound?
A: Ac2Al3GePt4